Entry 1:
# Sm2ErHg

Sm2ErHg after structural relaxation (PBE, the Alexandria database).

The energy above the lowest structure with this stoichiometry is 0.35 eV per formula unit. For the energy of formation from the pure elements, the calculation gives -13 kJ/mol of atoms. Its uncorrected energy is -3.7154 eV per atom. For the magnetic moment, the calculation gives 0.00 Bohr magnetons per cell.

It has space group R3m (No. 160, hexagonal axes), with a = 3.6730 Å, b = 3.6730 Å, c = 31.8721 Å, α = 90.00°, β = 90.00° and γ = 120.00°. Symmetry generates all atoms from Sm at (0.0000, 0.0000, 0.0000), Sm at (0.0000, 0.0000, 0.1784), Er at (0.0000, 0.0000, 0.4224) and Hg at (0.0000, 0.0000, 0.5891).


Entry 2:
# Sm4Er2Hg

Sm4Er2Hg after structural relaxation (PBE, the Alexandria database).

For the energy of formation from the pure elements, the calculation gives -1 kJ/mol of atoms. Its uncorrected energy is -4.0542 eV per atom. For the magnetic moment, the calculation gives 0.00 Bohr magnetons per cell.

It has space group C2/m (No. 12), with a = 16.491 Å, b = 3.552 Å, c = 8.528 Å, α = 90.00°, β = 117.63° and γ = 90.00°. Symmetry generates all atoms from Sm at (0.084, 0.000, 0.203), Sm at (0.130, 0.500, 0.888), Er at (0.216, 0.000, 0.638) and Hg at (0.000, 0.000, 0.500).


Entry 3:
# SmErHg

SmErHg after structural relaxation (PBE, the Alexandria database).

The energy above the lowest structure with this stoichiometry is 0.75 eV per formula unit. For the energy of formation from the pure elements, the calculation gives -10 kJ/mol of atoms. Its uncorrected energy is -3.2956 eV per atom. For the magnetic moment, the calculation gives 0.00 Bohr magnetons per cell.

It has space group F-43m (No. 216), with a = 7.256 Å, b = 7.256 Å, c = 7.256 Å, α = 90.00°, β = 90.00° and γ = 90.00°. Symmetry generates all atoms from Sm at (0.000, 0.000, 0.000), Er at (0.000, 0.000, 0.500) and Hg at (0.250, 0.250, 0.750).


Entry 4:
# SmEr2Hg4

SmEr2Hg4 after structural relaxation (PBE, the Alexandria database).

The energy above the lowest structure with this stoichiometry is 0.59 eV per formula unit. For the energy of formation from the pure elements, the calculation gives -28 kJ/mol of atoms. Its uncorrected energy is -2.4375 eV per atom. For the magnetic moment, the calculation gives 0.00 Bohr magnetons per cell.

It has space group R-3m (No. 166, hexagonal axes), with a = 4.9301 Å, b = 4.9301 Å, c = 26.7826 Å, α = 90.00°, β = 90.00° and γ = 120.00°. Symmetry generates all atoms from Sm at (0.0000, 0.0000, 0.0000), Er at (0.0000, 0.0000, 0.1246), Hg at (0.0000, 0.0000, 0.2460) and Hg at (0.0000, 0.0000, 0.3940).


Entry 5:
# Sm2Er3Hg3

Sm2Er3Hg3 after structural relaxation (PBE, the Alexandria database).

For the energy of formation from the pure elements, the calculation gives -34 kJ/mol of atoms. Its uncorrected energy is -3.3512 eV per atom. For the magnetic moment, the calculation gives 0.00 Bohr magnetons per cell.

It has space group Immm (No. 71), with a = 3.743 Å, b = 5.264 Å, c = 22.209 Å, α = 90.00°, β = 90.00° and γ = 90.00°. Symmetry generates all atoms from Sm at (0.000, 0.000, 0.231), Er at (0.000, 0.000, 0.000), Er at (0.000, 0.500, 0.119), Hg at (0.000, 0.000, 0.500) and Hg at (0.000, 0.500, 0.385).


Entry 6:
# Sm2Er2Hg

Sm2Er2Hg after structural relaxation (PBE, the Alexandria database).

The energy above the lowest structure with this stoichiometry is 0.69 eV per formula unit. For the energy of formation from the pure elements, the calculation gives -4 kJ/mol of atoms. Its uncorrected energy is -3.8151 eV per atom. For the magnetic moment, the calculation gives 0.06 Bohr magnetons per cell.

It has space group I4_1/amd (No. 141, origin choice 2), with a = 5.114 Å, b = 5.114 Å, c = 24.436 Å, α = 90.00°, β = 90.00° and γ = 90.00°. Symmetry generates all atoms from Sm at (0.000, 0.250, 0.047), Er at (0.000, 0.250, 0.196) and Hg at (0.000, 0.250, 0.875).


Entry 7:
# Sm8ErHg2

Sm8ErHg2 after structural relaxation (PBE, the Alexandria database).

For the energy of formation from the pure elements, the calculation gives -5 kJ/mol of atoms. Its uncorrected energy is -3.9577 eV per atom. For the magnetic moment, the calculation gives 0.00 Bohr magnetons per cell.

It has space group C2/m (No. 12), with a = 8.886 Å, b = 15.203 Å, c = 5.659 Å, α = 90.00°, β = 111.36° and γ = 90.00°. Symmetry generates all atoms from Sm at (0.000, 0.224, 0.000), Sm at (0.101, 0.500, 0.800), Sm at (0.205, 0.113, 0.604), Er at (0.000, 0.000, 0.000) and Hg at (0.000, 0.306, 0.500).


Entry 8:
# Sm3Er2Hg2

Sm3Er2Hg2 after structural relaxation (PBE, the Alexandria database).

The energy above the lowest structure with this stoichiometry is 0.84 eV per formula unit. For the energy of formation from the pure elements, the calculation gives -11 kJ/mol of atoms. Its uncorrected energy is -3.5280 eV per atom. For the magnetic moment, the calculation gives 0.89 Bohr magnetons per cell.

It has space group Cmmm (No. 65), with a = 4.963 Å, b = 22.992 Å, c = 3.517 Å, α = 90.00°, β = 90.00° and γ = 90.00°. Symmetry generates all atoms from Sm at (0.000, 0.000, 0.000), Sm at (0.000, 0.145, 0.000), Er at (0.000, 0.290, 0.500) and Hg at (0.000, 0.429, 0.500).


Entry 9:
# Sm3ErHg4

Sm3ErHg4 after structural relaxation (PBE, the Alexandria database).

The energy above the lowest structure with this stoichiometry is 0.00 eV per formula unit. For the energy of formation from the pure elements, the calculation gives -46 kJ/mol of atoms. Its uncorrected energy is -2.9639 eV per atom. For the magnetic moment, the calculation gives 1.32 Bohr magnetons per cell.

It has space group P4/mmm (No. 123), with a = 3.750 Å, b = 3.750 Å, c = 15.232 Å, α = 90.00°, β = 90.00° and γ = 90.00°. Symmetry generates all atoms from Sm at (0.000, 0.000, 0.000), Sm at (0.000, 0.000, 0.253), Er at (0.000, 0.000, 0.500), Hg at (0.500, 0.500, 0.126) and Hg at (0.500, 0.500, 0.384).


Entry 10:
# SmEr5Hg6

SmEr5Hg6 after structural relaxation (PBE, the Alexandria database).

For the energy of formation from the pure elements, the calculation gives -46 kJ/mol of atoms. Its uncorrected energy is -2.9224 eV per atom. For the magnetic moment, the calculation gives 0.01 Bohr magnetons per cell.

It has space group Cmmm (No. 65), with a = 5.223 Å, b = 15.761 Å, c = 7.442 Å, α = 90.00°, β = 90.00° and γ = 90.00°. Symmetry generates all atoms from Sm at (0.000, 0.000, 0.000), Er at (0.000, 0.000, 0.500), Er at (0.000, 0.332, 0.000), Er at (0.000, 0.335, 0.500), Hg at (0.000, 0.169, 0.255) and Hg at (0.000, 0.500, 0.256).


Entry 11:
# SmErSnHg

SmErSnHg after structural relaxation (PBE, the Alexandria database).

The energy above the lowest structure with this stoichiometry is 0.01 eV per formula unit. For the energy of formation from the pure elements, the calculation gives -54 kJ/mol of atoms. Its uncorrected energy is -3.9545 eV per atom. For the magnetic moment, the calculation gives 0.00 Bohr magnetons per cell.

It has space group P4mm (No. 99), with a = 3.807 Å, b = 3.807 Å, c = 7.368 Å, α = 90.00°, β = 90.00° and γ = 90.00°. Symmetry generates all atoms from Sm at (0.000, 0.000, 0.000), Er at (0.000, 0.000, 0.507), Sn at (0.500, 0.500, 0.263) and Hg at (0.500, 0.500, 0.738).


Entry 12:
# SmErSnHg

SmErSnHg after structural relaxation (PBE, the Alexandria database).

The energy above the lowest structure with this stoichiometry is 0.00 eV per formula unit. For the energy of formation from the pure elements, the calculation gives -54 kJ/mol of atoms. Its uncorrected energy is -3.9582 eV per atom. For the magnetic moment, the calculation gives 0.00 Bohr magnetons per cell.

It has space group F-43m (No. 216), with a = 7.517 Å, b = 7.517 Å, c = 7.517 Å, α = 90.00°, β = 90.00° and γ = 90.00°. Symmetry generates all atoms from Sm at (0.000, 0.000, 0.000), Er at (0.000, 0.000, 0.500), Sn at (0.250, 0.250, 0.250) and Hg at (0.250, 0.250, 0.750).


Entry 13:
# SmErTcHg

SmErTcHg after structural relaxation (PBE, the Alexandria database).

For the energy of formation from the pure elements, the calculation gives -12 kJ/mol of atoms. Its uncorrected energy is -5.1083 eV per atom. For the magnetic moment, the calculation gives 0.00 Bohr magnetons per cell.

It has space group F-43m (No. 216), with a = 7.167 Å, b = 7.167 Å, c = 7.167 Å, α = 90.00°, β = 90.00° and γ = 90.00°. Symmetry generates all atoms from Sm at (0.000, 0.000, 0.000), Er at (0.000, 0.000, 0.500), Tc at (0.250, 0.250, 0.750) and Hg at (0.250, 0.250, 0.250).


Entry 14:
# SmEr2Tl2Hg2

SmEr2Tl2Hg2 after structural relaxation (PBE, the Alexandria database).

For the energy of formation from the pure elements, the calculation gives -19 kJ/mol of atoms. Its uncorrected energy is -2.9384 eV per atom. For the magnetic moment, the calculation gives 0.00 Bohr magnetons per cell.

It has space group R-3m (No. 166, hexagonal axes), with a = 4.9904 Å, b = 4.9904 Å, c = 26.5890 Å, α = 90.00°, β = 90.00° and γ = 120.00°. Symmetry generates all atoms from Sm at (0.0000, 0.0000, 0.0000), Er at (0.0000, 0.0000, 0.1331), Tl at (0.0000, 0.0000, 0.2710) and Hg at (0.0000, 0.0000, 0.4371).


Entry 15:
# SmErTlHg

SmErTlHg after structural relaxation (PBE, the Alexandria database).

The energy above the lowest structure with this stoichiometry is 0.03 eV per formula unit. For the energy of formation from the pure elements, the calculation gives -39 kJ/mol of atoms. Its uncorrected energy is -3.3947 eV per atom. For the magnetic moment, the calculation gives 2.32 Bohr magnetons per cell.

It has space group F-43m (No. 216), with a = 7.570 Å, b = 7.570 Å, c = 7.570 Å, α = 90.00°, β = 90.00° and γ = 90.00°. Symmetry generates all atoms from Sm at (0.000, 0.000, 0.000), Er at (0.000, 0.000, 0.500), Tl at (0.250, 0.250, 0.250) and Hg at (0.250, 0.250, 0.750).


Entry 16:
# SmErTlHg

SmErTlHg after structural relaxation (PBE, the Alexandria database).

The energy above the lowest structure with this stoichiometry is 0.00 eV per formula unit. For the energy of formation from the pure elements, the calculation gives -40 kJ/mol of atoms. Its uncorrected energy is -3.4024 eV per atom. For the magnetic moment, the calculation gives 0.49 Bohr magnetons per cell.

It has space group P4mm (No. 99), with a = 3.775 Å, b = 3.775 Å, c = 7.595 Å, α = 90.00°, β = 90.00° and γ = 90.00°. Symmetry generates all atoms from Sm at (0.000, 0.000, 0.000), Er at (0.000, 0.000, 0.481), Tl at (0.500, 0.500, 0.732) and Hg at (0.500, 0.500, 0.258).


Entry 17:
# SmErTm2Hg4

SmErTm2Hg4 after structural relaxation (PBE, the Alexandria database).

For the energy of formation from the pure elements, the calculation gives -45 kJ/mol of atoms. Its uncorrected energy is -2.9004 eV per atom. For the magnetic moment, the calculation gives 0.01 Bohr magnetons per cell.

It has space group R-3m (No. 166, hexagonal axes), with a = 5.2436 Å, b = 5.2436 Å, c = 25.7615 Å, α = 90.00°, β = 90.00° and γ = 120.00°. Symmetry generates all atoms from Sm at (0.0000, 0.0000, 0.0000), Er at (0.0000, 0.0000, 0.5000), Tm at (0.0000, 0.0000, 0.2492), Hg at (0.0000, 0.0000, 0.1265) and Hg at (0.0000, 0.0000, 0.3768).


Entry 18:
# SmYErHg

SmYErHg after structural relaxation (PBE, the Alexandria database).

For the energy of formation from the pure elements, the calculation gives -6 kJ/mol of atoms. Its uncorrected energy is -4.0772 eV per atom. For the magnetic moment, the calculation gives 0.55 Bohr magnetons per cell.

It has space group F-43m (No. 216), with a = 7.685 Å, b = 7.685 Å, c = 7.685 Å, α = 90.00°, β = 90.00° and γ = 90.00°. Symmetry generates all atoms from Sm at (0.000, 0.000, 0.000), Y at (0.000, 0.000, 0.500), Er at (0.250, 0.250, 0.250) and Hg at (0.250, 0.250, 0.750).


Entry 19:
# ErSn2Hg

ErSn2Hg after structural relaxation (PBE, the Alexandria database).

The energy above the lowest structure with this stoichiometry is 1.14 eV per formula unit. For the energy of formation from the pure elements, the calculation gives -11 kJ/mol of atoms. Its uncorrected energy is -3.3338 eV per atom. For the magnetic moment, the calculation gives 0.00 Bohr magnetons per cell.

It has space group R-3m (No. 166, hexagonal axes), with a = 5.2623 Å, b = 5.2623 Å, c = 13.1897 Å, α = 90.00°, β = 90.00° and γ = 120.00°. Symmetry generates all atoms from Er at (0.0000, 0.0000, 0.0000), Sn at (0.0000, 0.0000, 0.2449) and Hg at (0.0000, 0.0000, 0.5000).


Entry 20:
# ErSnHg

ErSnHg after structural relaxation (PBE, the Alexandria database).

For the energy of formation from the pure elements, the calculation gives -8 kJ/mol of atoms. Its uncorrected energy is -3.0356 eV per atom. For the magnetic moment, the calculation gives 0.20 Bohr magnetons per cell.

It has space group I4mm (No. 107), with a = 3.380 Å, b = 3.380 Å, c = 16.033 Å, α = 90.00°, β = 90.00° and γ = 90.00°. Symmetry generates all atoms from Er at (0.000, 0.000, 0.000), Sn at (0.000, 0.000, 0.369) and Hg at (0.000, 0.000, 0.185).


Here are the calculated theoretical density numbers, same order: 8.94 8.53 9.01 11.37 10.66 8.69 8.26 9.82 11.01 11.87 9.91 9.96 11.12 11.25 11.07 11.08 11.84 8.89 9.53 8.82 (g/cm3).